SnHPt2Se | Alexandria | PBEsol | optimized geometry; total moment = 0.00 μB per cell; electronic total energy = -22.46 eV per cell
1.0
-0.2999 1.7029 -2.9754
-0.6478 -4.3493 -2.4240
-4.9599 0.3489 0.6996
H Se Sn Pt
1 1 1 2
Cartesian
-0.1499 0.8515 -1.4877 H
-2.9538 -1.1487 -2.3499 Se
0.0000 0.0000 0.0000 Sn
-2.4799 0.1744 0.3498 Pt
-0.3239 -2.1746 -1.2120 Pt